No. 1
A plane-wave DFT calculation with GGA-PBE was carried out for an optimized crystal structure of MnH12C2N2Cl4.

crystal system = tetragonal
M_tot = 20.00 Bohr magnetons per cell
raw total energy = -4.920 eV/atom

Lattice parameters (Å, degrees): 7.286 7.286 19.895 90.00 90.00 90.00
Site moments in Bohr magnetons follow the coordinates.
Fractional positions:
Mn  0.250  0.750  0.750  4.45
Mn  0.750  0.250  0.750  4.45
Mn  0.250  0.250  0.250  4.45
Mn  0.750  0.750  0.250  4.45
H  0.788  0.288  0.029  0.00
H  0.911  0.249  0.142  0.00
H  0.251  0.589  0.142  0.00
H  0.749  0.411  0.142  0.00
H  0.212  0.712  0.029  0.00
H  0.762  0.436  0.438  0.00
H  0.064  0.738  0.438  0.00
H  0.751  0.911  0.858  0.00
H  0.699  0.199  0.172  0.00
H  0.589  0.749  0.858  0.00
H  0.436  0.762  0.062  0.00
H  0.801  0.301  0.328  0.00
H  0.199  0.301  0.828  0.00
H  0.249  0.089  0.858  0.00
H  0.911  0.751  0.642  0.00
H  0.564  0.238  0.062  0.00
H  0.089  0.751  0.142  0.00
H  0.262  0.936  0.062  0.00
H  0.411  0.749  0.358  0.00
H  0.301  0.801  0.172  0.00
H  0.238  0.564  0.438  0.00
H  0.288  0.212  0.971  0.00
H  0.249  0.911  0.358  0.00
H  0.212  0.288  0.529  0.00
H  0.762  0.564  0.938  0.00
H  0.288  0.788  0.471  0.00
H  0.712  0.788  0.971  0.00
H  0.089  0.249  0.642  0.00
H  0.801  0.699  0.828  0.00
H  0.301  0.199  0.672  0.00
H  0.699  0.801  0.672  0.00
H  0.738  0.064  0.062  0.00
H  0.751  0.089  0.358  0.00
H  0.712  0.212  0.471  0.00
H  0.589  0.251  0.358  0.00
H  0.064  0.262  0.938  0.00
H  0.262  0.064  0.562  0.00
H  0.238  0.436  0.938  0.00
H  0.936  0.738  0.938  0.00
H  0.251  0.411  0.642  0.00
H  0.936  0.262  0.438  0.00
H  0.749  0.589  0.642  0.00
H  0.411  0.251  0.858  0.00
H  0.199  0.699  0.328  0.00
H  0.738  0.936  0.562  0.00
H  0.788  0.712  0.529  0.00
H  0.436  0.238  0.562  0.00
H  0.564  0.762  0.562  0.00
C  0.789  0.289  0.433  0.00
C  0.211  0.711  0.433  0.00
C  0.711  0.789  0.567  0.00
C  0.289  0.789  0.067  0.00
C  0.789  0.711  0.933  0.00
C  0.711  0.211  0.067  0.00
C  0.211  0.289  0.933  0.00
C  0.289  0.211  0.567  0.00
N  0.730  0.770  0.865  0.00
N  0.770  0.270  0.135  0.00
N  0.230  0.270  0.635  0.00
N  0.730  0.230  0.365  0.00
N  0.270  0.230  0.865  0.00
N  0.270  0.770  0.365  0.00
N  0.770  0.730  0.635  0.00
N  0.230  0.730  0.135  0.00
Cl  0.787  0.713  0.126  0.04
Cl  0.713  0.213  0.874  0.04
Cl  0.500  0.000  0.727  0.05
Cl  0.500  0.000  0.227  0.05
Cl  0.213  0.287  0.126  0.04
Cl  0.213  0.713  0.626  0.04
Cl  0.000  0.500  0.773  0.05
Cl  0.787  0.287  0.626  0.04
Cl  0.287  0.213  0.374  0.04
Cl  0.287  0.787  0.874  0.04
Cl  0.000  0.000  0.250  0.06
Cl  0.500  0.500  0.250  0.06
Cl  0.000  0.500  0.273  0.05
Cl  0.000  0.000  0.750  0.06
Cl  0.713  0.787  0.374  0.04
Cl  0.500  0.500  0.750  0.06

***

No. 2
A plane-wave DFT calculation with GGA-PBE was carried out for an optimized crystal structure of Sm2DyMnSe6.

crystal system = triclinic
M_tot = 4.00 Bohr magnetons per cell
raw total energy = -5.825 eV/atom
uncorrected formation energy = -14.13 eV per formula unit

Lattice parameters (Å, degrees): 7.138 7.128 7.514 61.59 61.61 60.06
Site moments in Bohr magnetons follow the coordinates.
Fractional positions:
Sm  0.522  0.522  0.434  0.03
Sm  0.020  0.021  0.938  0.01
Dy  0.820  0.820  0.539  0.06
Mn  0.323  0.323  0.031  3.79
Se  0.582  0.205  0.253  -0.02
Se  0.206  0.961  0.252  -0.02
Se  0.961  0.581  0.253  -0.02
Se  0.437  0.685  0.772  -0.03
Se  0.685  0.106  0.771  -0.02
Se  0.106  0.438  0.771  -0.02

***

No. 3
A plane-wave DFT calculation with GGA-PBE was carried out for an optimized crystal structure of BeReSn3.

formation energy from the elements = 1.19 eV per atom
crystal system = cubic
M_tot = 2.78 Bohr magnetons per cell
raw total energy = -4.448 eV/atom
relative energy among the computed polymorphs = 355 meV per atom

Lattice parameters (Å, degrees): 4.815 4.815 4.815 90.00 90.00 90.00
Site moments in Bohr magnetons follow the coordinates.
Fractional positions:
Re  0.500  0.500  0.500  2.47
Sn  0.000  0.500  0.000  -0.03
Sn  0.000  0.000  0.500  -0.01
Sn  0.500  0.000  0.000  -0.04
Be  0.000  0.000  0.000  0.03

***

No. 4
A plane-wave DFT calculation with GGA-PBE was carried out for an optimized crystal structure of Ce3S5.

crystal system = monoclinic
M_tot = 1.17 Bohr magnetons per cell
raw total energy = -6.707 eV/atom
uncorrected formation energy = -15.21 eV per formula unit
relative energy among the computed polymorphs = 0 meV per atom

Lattice parameters (Å, degrees): 6.661 7.659 8.166 84.02 65.93 75.21
Site moments in Bohr magnetons follow the coordinates.
Fractional positions:
Ce  0.653  0.500  0.193  0.66
Ce  0.742  0.000  0.015  0.59
Ce  0.078  0.207  0.500  -0.69
Ce  0.921  0.794  0.500  -0.69
Ce  0.257  0.000  0.985  0.59
Ce  0.346  0.500  0.807  0.66
S  0.155  0.879  0.715  -0.01
S  0.991  0.298  0.878  -0.02
S  0.259  0.489  0.500  0.00
S  0.370  0.879  0.285  -0.01
S  0.630  0.703  0.878  -0.02
S  0.369  0.298  0.122  -0.02
S  0.629  0.122  0.715  -0.01
S  0.740  0.512  0.500  0.00
S  0.008  0.703  0.122  -0.02
S  0.844  0.122  0.285  -0.01

***

No. 5
A plane-wave DFT calculation with GGA-PBE was carried out for an optimized crystal structure of Cs2TcCl5O.

crystal system = tetragonal
M_tot = 0.09 Bohr magnetons per cell
raw total energy = -4.317 eV/atom
uncorrected formation energy = -12.59 eV per formula unit

Lattice parameters (Å, degrees): 7.348 7.348 7.348 93.67 117.91 117.91
Site moments in Bohr magnetons follow the coordinates.
Fractional positions:
Cs  0.500  0.247  0.747  0.00
Cs  0.500  0.747  0.247  0.00
Tc  0.000  0.978  0.978  0.07
Cl  0.448  0.222  0.222  0.00
Cl  0.552  0.774  0.774  0.00
Cl  0.000  0.774  0.222  0.00
Cl  0.000  0.222  0.774  0.00
Cl  0.000  0.224  0.224  0.00
O  0.000  0.811  0.811  0.02

***

No. 6
A plane-wave DFT calculation with GGA-PBE was carried out for an optimized crystal structure of LiErAl.

formation energy from the elements = 0.11 eV per atom
crystal system = monoclinic
M_tot = 0.00 Bohr magnetons per cell
raw total energy = -3.296 eV/atom
relative energy among the computed polymorphs = 313 meV per atom

Lattice parameters (Å, degrees): 6.890 5.213 3.164 90.00 90.00 41.00
Fractional positions:
Li  0.500  0.500  0.000
Er  0.000  0.500  0.000
Al  0.000  0.000  0.500

***

No. 7
A plane-wave DFT calculation with GGA-PBE was carried out for an optimized crystal structure of CaPrBi2.

formation energy from the elements = -0.77 eV per atom
crystal system = trigonal
M_tot = 0.00 Bohr magnetons per cell
raw total energy = -4.402 eV/atom
relative energy among the computed polymorphs = 0 meV per atom

Lattice parameters (Å, degrees): 4.537 4.537 8.332 74.20 74.20 60.00
Fractional positions:
Ca  0.000  0.000  0.000
Pr  0.500  0.500  0.500
Bi  0.250  0.250  0.251
Bi  0.750  0.750  0.749

***

No. 8
A plane-wave DFT calculation with GGA-PBE was carried out for an optimized crystal structure of LiVReRh.

formation energy from the elements = 0.01 eV per atom
crystal system = cubic
M_tot = 0.00 Bohr magnetons per cell
raw total energy = -7.696 eV/atom

Lattice parameters (Å, degrees): 4.215 4.215 4.215 60.00 60.00 60.00
Fractional positions:
Re  0.750  0.750  0.750
Li  0.000  0.000  0.000
Rh  0.250  0.250  0.250
V  0.500  0.500  0.500